A plane-wave DFT calculation with PBE was carried out for a geometry-optimized HoGaHg2 structure.

abc: 4.709 3.296 6.064
angles: 97.08 90.00 90.00
Element x y z (fractional)
Hg1 0.000 0.171 0.999
Ga1 0.500 0.250 0.750
Hg2 0.000 0.329 0.501
Ho1 0.500 0.750 0.250

Calculated formation energy = -0.240 eV per atom
Calculated total energy = -2.292 eV/atom
N(E_F) = 2.2 states/eV/f.u.

---

A plane-wave DFT calculation with PBE was carried out for a geometry-optimized HoGaHg structure.

abc: 4.678 4.678 4.678
angles: 60.00 60.00 60.00
Element x y z (fractional)
Ga1 0.250 0.250 0.250
Ho1 0.500 0.500 0.500
Hg1 0.000 0.000 0.000

Calculated formation energy = -0.395 eV per atom
Calculated total energy = -3.030 eV/atom
N(E_F) = 0.9 states/eV/f.u.

---

A plane-wave DFT calculation with PBE was carried out for a geometry-optimized HoGaHg structure.

abc: 3.481 3.481 6.148
angles: 106.45 106.45 90.00
Element x y z (fractional)
Ga1 0.279 0.279 0.558
Hg1 0.626 0.626 0.252
Ho1 0.945 0.945 0.890

Calculated formation energy = -0.320 eV per atom
Calculated total energy = -2.956 eV/atom
N(E_F) = 2.5 states/eV/f.u.

---

A plane-wave DFT calculation with PBE was carried out for a geometry-optimized HoGa2Hg structure.

abc: 4.922 4.922 6.792
angles: 68.76 68.76 60.00
Element x y z (fractional)
Ga1 0.858 0.858 0.426
Ho1 0.500 0.500 0.500
Hg1 0.000 0.000 0.000
Ga2 0.142 0.142 0.574

Calculated formation energy = 0.123 eV per atom
Calculated total energy = -2.611 eV/atom
Distance to the lowest polymorph of the same formula = 543.6 meV/atom
N(E_F) = 2.1 states/eV/f.u.